No. 1
This record from Alexandria via LeMat-Bulk describes crystalline Sb3MoPt at its relaxed geometry. The functional is GGA-PBE.

Cell lengths 5.134, 5.134, 5.134 Å; angles 90.00, 90.00, 90.00 degrees
Space group Pm-3m (No. 221)
Unique sites:
Sb1 0.000 0.000 0.500 [3 per cell]
Mo1 0.000 0.000 0.000 [1 per cell]
Pt1 0.500 0.500 0.500 [1 per cell]

E above lowest polymorph (eV per formula unit): 0.00
V (Å³ per atom): 27.060
Density (g cm⁻³): 8.1
Total moment (μB/f.u.): 0.00
DOS(E_F) (states/eV per atom): 0.49
Crystal system: cubic



No. 2
This record from Alexandria via LeMat-Bulk describes crystalline SbMoPt at its relaxed geometry. The functional is GGA-PBE.

Cell lengths 3.009, 3.009, 12.465 Å; angles 90.00, 90.00, 90.00 degrees
Space group I4mm (No. 107)
Unique sites:
Sb1 0.000 0.000 0.000 [2 per cell]
Mo1 0.000 0.000 0.330 [2 per cell]
Pt1 0.000 0.000 0.697 [2 per cell]

V (Å³ per atom): 18.805
Density (g cm⁻³): 12.2
Total moment (μB/f.u.): 0.00
Final energy (eV for the cell shown): -41.01
DOS(E_F) (states/eV per atom): 1.13
Crystal system: tetragonal



> Which of these has the highest DOS(E_F)?

SbMoPt



> Which of these has the lowest V?

SbMoPt



> Which formula does entry 2 have?

SbMoPt